CaNd3Ru | Alexandria | PBE | relaxed; formation enthalpy at 0 K = -0.08 eV per atom; crystal system = triclinic; E above lowest polymorph = 0.000 eV/atom; space-group type = No. 2
1.0
6.6285 0.0000 0.0000
1.9893 7.1902 0.0000
2.0038 2.0714 6.8876
Ca Nd Ru
2 6 2
Cartesian
3.1020 3.4114 2.5377
7.5196 5.8502 4.3499
4.2582 4.9221 5.9215
4.2589 7.0890 3.0138
5.5554 8.5420 6.3600
5.0662 0.7196 0.5276
6.3626 2.1726 3.8738
6.3634 4.3395 0.9661
0.9530 1.7734 1.3215
9.6686 7.4882 5.5661

CaNd3Ru | Alexandria | PBE | relaxed; formation enthalpy at 0 K = -0.08 eV per atom; crystal system = monoclinic; E above lowest polymorph = 0.003 eV/atom; space-group type = No. 12
1.0
7.4185 -1.9418 0.0000
7.4185 1.9418 0.0000
-0.2570 0.0000 11.3337
Ca Nd Ru
2 6 2
Cartesian
2.5303 0.0000 1.0484
12.0497 0.0000 10.2853
0.8880 0.0000 4.3219
2.9573 0.0000 7.3592
6.5296 0.0000 1.7421
8.0504 0.0000 9.5916
11.6227 0.0000 3.9745
13.6921 0.0000 7.0118
6.1418 0.0000 4.5667
8.4382 0.0000 6.7670

CaNd2Ru | Alexandria | PBE | relaxed; formation enthalpy at 0 K = -0.09 eV per atom; crystal system = tetragonal; E above lowest polymorph = 0.038 eV/atom; space-group type = No. 123
1.0
3.5288 0.0000 0.0000
0.0000 3.5288 0.0000
0.0000 0.0000 9.9011
Ca Nd Ru
1 2 1
Cartesian
0.0000 0.0000 0.0000
1.7644 1.7644 3.2451
1.7644 1.7644 6.6559
0.0000 0.0000 4.9505

CaNd2Ru | Alexandria | PBE | relaxed; formation enthalpy at 0 K = -0.12 eV per atom; crystal system = orthorhombic; E above lowest polymorph = 0.000 eV/atom; space-group type = No. 62
1.0
7.4631 0.0000 0.0000
0.0000 9.6370 0.0000
0.0000 0.0000 6.5518
Ca Nd Ru
4 8 4
Cartesian
0.3350 2.4093 0.9016
3.3965 7.2278 4.1776
4.0666 2.4093 2.3743
7.1280 7.2278 5.6502
1.2940 0.6361 4.4028
1.2940 4.1824 4.4028
2.4375 5.4546 1.1269
2.4375 9.0010 1.1269
5.0255 0.6361 5.4249
5.0255 4.1824 5.4249
6.1691 5.4546 2.1490
6.1691 9.0010 2.1490
0.7282 7.2278 2.8241
3.0033 2.4093 6.1000
4.4598 7.2278 0.4518
6.7348 2.4093 3.7278

CaNd4Ru2 | Alexandria | PBE | relaxed; formation enthalpy at 0 K = -0.09 eV per atom; crystal system = triclinic; space-group type = No. 1
1.0
6.4289 0.0000 0.0000
0.0326 8.0450 0.0000
3.1761 3.8711 8.4191
Ca Nd Ru
2 8 4
Cartesian
0.0000 0.0000 0.0000
3.2804 7.7497 8.3457
3.0962 5.8872 5.3002
3.2696 9.9640 5.3115
3.2978 8.0033 1.8410
3.3056 3.9240 1.8935
6.4760 4.0212 6.4670
6.5323 7.9830 6.5286
6.3172 1.9199 3.0037
6.5104 5.9334 3.0638
1.5918 3.8327 4.1306
1.6293 7.9929 4.1622
4.8470 7.9196 4.2137
4.2146 2.0178 0.0112

CaNd2Ru | Alexandria | PBE | relaxed; formation enthalpy at 0 K = 0.07 eV per atom; crystal system = trigonal; E above lowest polymorph = 0.194 eV/atom; space-group type = No. 166
1.0
1.9824 1.1446 10.7691
-1.9824 1.1446 10.7691
0.0000 -2.2891 10.7691
Ca Nd Ru
1 2 1
Cartesian
0.0000 0.0000 0.0000
0.0000 0.0000 3.7749
0.0000 0.0000 28.5323
0.0000 0.0000 16.1536

CaNdRu | Alexandria | PBE | relaxed; formation enthalpy at 0 K = 0.07 eV per atom; crystal system = orthorhombic; E above lowest polymorph = 0.113 eV/atom; space-group type = No. 64
1.0
3.3527 -6.9704 0.0000
3.3527 6.9704 0.0000
0.0000 0.0000 7.2631
Ca Nd Ru
4 4 4
Cartesian
3.3527 4.1494 6.5054
3.3527 2.8210 2.8738
3.3527 -2.8210 4.3893
3.3527 -4.1494 0.7577
1.6764 0.3780 5.4473
1.6764 -0.3780 1.8158
5.0291 0.3780 5.4473
5.0291 -0.3780 1.8158
3.3527 5.5307 3.9479
3.3527 1.4397 0.3164
3.3527 -1.4397 6.9468
3.3527 -5.5307 3.3152

CaNd2Ru | Alexandria | PBE | relaxed; formation enthalpy at 0 K = -0.11 eV per atom; crystal system = orthorhombic; E above lowest polymorph = 0.019 eV/atom; space-group type = No. 63
1.0
2.0309 -6.3087 0.0000
2.0309 6.3087 0.0000
0.0000 0.0000 9.2297
Ca Nd Ru
2 4 2
Cartesian
2.0309 5.3453 6.9223
2.0309 -5.3453 2.3074
2.0309 1.8454 5.2270
2.0309 1.8454 8.6176
2.0309 -1.8454 0.6121
2.0309 -1.8454 4.0027
2.0309 3.1829 2.3074
2.0309 -3.1829 6.9223

CaNd2Ru | Alexandria | PBE | relaxed; formation enthalpy at 0 K = -0.05 eV per atom; crystal system = trigonal; E above lowest polymorph = 0.070 eV/atom; space-group type = No. 160
1.0
2.0490 1.1830 9.3722
-2.0490 1.1830 9.3722
0.0000 -2.3660 9.3722
Ca Nd Ru
1 2 1
Cartesian
0.0000 0.0000 0.0000
0.0000 0.0000 15.5419
0.0000 0.0000 21.8755
0.0000 0.0000 4.6422

CaNd3Ru | Alexandria | PBE | relaxed; formation enthalpy at 0 K = -0.07 eV per atom; crystal system = cubic; E above lowest polymorph = 0.013 eV/atom; space-group type = No. 221
1.0
5.5969 0.0000 0.0000
0.0000 5.5969 0.0000
0.0000 0.0000 5.5969
Ca Nd Ru
1 3 1
Cartesian
0.0000 0.0000 0.0000
0.0000 2.7984 2.7984
2.7984 0.0000 2.7984
2.7984 2.7984 0.0000
2.7984 2.7984 2.7984

CaNdSmRu | Alexandria | PBE | relaxed; formation enthalpy at 0 K = 0.12 eV per atom; crystal system = cubic; space-group type = No. 216
1.0
0.0000 3.7254 3.7254
3.7254 0.0000 3.7254
3.7254 3.7254 0.0000
Ca Nd Sm Ru
1 1 1 1
Cartesian
0.0000 0.0000 0.0000
5.5881 5.5881 5.5881
1.8627 1.8627 1.8627
3.7254 3.7254 3.7254

CaNdYRu | Alexandria | PBE | relaxed; formation enthalpy at 0 K = 0.10 eV per atom; crystal system = cubic; space-group type = No. 216
1.0
0.0000 3.7025 3.7025
3.7025 0.0000 3.7025
3.7025 3.7025 0.0000
Ca Nd Y Ru
1 1 1 1
Cartesian
0.0000 0.0000 0.0000
1.8512 1.8512 1.8512
5.5537 5.5537 5.5537
3.7025 3.7025 3.7025

Uncorrected energy / eV/cell: -51.99 -51.96 -21.16 -85.25 -80.58 -20.53 -63.38 -42.47 -21.03 -25.93 -20.28 -22.11